Sb3Ru: relaxed, PBE-GGA.

Computed properties:
* crystal system: orthorhombic
* relative energy among the computed polymorphs: 0.0000 eV per atom

Cell: 6.5868 6.6642 8.3392 Å, 90.00 90.00 90.00°
Positions (direct):
Sb  0.1258  0.9671  0.7500
Sb  0.6258  0.5329  0.2500
Sb  0.3742  0.4671  0.7500
Sb  0.8742  0.0329  0.2500
Sb  0.6534  0.1739  0.9309
Sb  0.1534  0.3261  0.0691
Sb  0.8466  0.6739  0.5691
Sb  0.3466  0.8261  0.4309
Sb  0.3466  0.8261  0.0691
Sb  0.8466  0.6739  0.9309
Sb  0.1534  0.3261  0.4309
Sb  0.6534  0.1739  0.5691
Ru  0.5140  0.8385  0.7500
Ru  0.0140  0.6615  0.2500
Ru  0.9860  0.3385  0.7500
Ru  0.4860  0.1615  0.2500

SbRu: relaxed, PBE-GGA.

Computed properties:
* crystal system: orthorhombic

Cell: 3.2259 5.0392 4.4461 Å, 90.00 90.00 90.00°
Positions (direct):
Ru  0.0000  0.0000  0.0484
Ru  0.5000  0.5000  0.7849
Sb  0.5000  0.0000  0.5557
Sb  0.0000  0.5000  0.2776

| no. | formation energy from raw total energies (eV per atom) | total magnetization (μB/f.u.) |
| --- | --- | --- |
| 1 | 0.00 | 0.000 |
| 2 | 0.05 | 0.000 |